Entry 1:
Density functional theory data (GGA-PBEsol) for crystalline CrNiSb2 at its relaxed geometry.

The structure belongs to space group P-3m1 (No. 164); the cell edges are 3.9571, 3.9571 and 5.3439 Å and the angles 90.00°, 90.00° and 120.00°. Symmetry generates all atoms from Cr at (0.0000, 0.0000, 0.0000), Ni at (0.0000, 0.0000, 0.5000) and Sb at (0.3333, 0.6667, 0.2660).

Entry 2:
Density functional theory data (GGA-PBEsol) for crystalline CrNiSb2 at its relaxed geometry.

The structure belongs to space group Amm2 (No. 38); the cell edges are 3.909, 3.557 and 9.758 Å and the angles 90.00°, 90.00° and 90.00°. Symmetry generates all atoms from Cr at (0.000, 0.000, 0.000), Ni at (0.500, 0.000, 0.162), Sb at (0.000, 0.000, 0.717) and Sb at (0.500, 0.000, 0.433).

Number 1: distance to the lowest polymorph of the same formula 0 meV per atom, magnetization 2.94 Bohr magnetons per cell, E_form (uncorrected) -0.051 eV/atom. Number 2: distance to the lowest polymorph of the same formula 89 meV per atom, magnetization 4.12 Bohr magnetons per cell, E_form (uncorrected) 0.038 eV/atom.